Record 1
# PmHfZr, optimized geometry, DFT PBE
data_PmHfZr
_symmetry_space_group_name_H-M 'R -3 m'
_symmetry_Int_Tables_number 166
_symmetry_space_group_name_Hall '-R 3 2"'
_cell_length_a 5.3359
_cell_length_b 5.3359
_cell_length_c 19.7193
_cell_angle_alpha 90.00
_cell_angle_beta 90.00
_cell_angle_gamma 120.00
loop_
_atom_site_label
_atom_site_type_symbol
_atom_site_fract_x
_atom_site_fract_y
_atom_site_fract_z
_atom_site_occupancy
Pm1 Pm 0.0000 0.0000 0.1110 1
Hf1 Hf 0.0000 0.0000 0.2964 1
Zr1 Zr 0.0000 0.0000 0.4318 1
# **M_tot**: 0.000 μB per cell
# **Formation energy**: 0.412 eV per atom

***

Record 2
# Co2SbBr, optimized geometry, DFT PBE
data_Co2SbBr
_symmetry_space_group_name_H-M 'I m m m'
_symmetry_Int_Tables_number 71
_symmetry_space_group_name_Hall '-I 2 2'
_cell_length_a 3.149
_cell_length_b 5.857
_cell_length_c 7.991
_cell_angle_alpha 90.00
_cell_angle_beta 90.00
_cell_angle_gamma 90.00
loop_
_atom_site_label
_atom_site_type_symbol
_atom_site_fract_x
_atom_site_fract_y
_atom_site_fract_z
_atom_site_occupancy
Co1 Co 0.000 0.000 0.245 1
Sb1 Sb 0.000 0.500 0.500 1
Br1 Br 0.000 0.500 0.000 1
# **Uncorrected formation energy**: 2.56 eV/f.u.
# **M_tot**: 4.062 μB per cell

***

no.,excess energy over the best structure of this formula in the dataset (meV per atom),D(E_F) (states/eV per atom)
1,281,1.02
2,525,1.25